A) This record from the Alexandria database describes a relaxed Ac4MgPt crystal. The functional is PBE.

Cell: 8.8418 8.8418 8.8418 Å, 109.37 109.37 109.68°
Positions (direct):
Ac 0.1322 0.4462 0.6860
Ac 0.1962 0.0103 0.8140
Ac 0.1962 0.3822 0.1860
Ac 0.3003 0.0000 0.3003
Ac 0.6997 0.0000 0.6997
Ac 0.7500 0.5503 0.8003
Ac 0.7500 0.9497 0.1997
Ac 0.7603 0.4462 0.3140
Mg 0.2266 0.7266 0.5000
Mg 0.4766 0.4766 0.0000
Pt 0.7210 0.2210 0.5000
Pt 0.9710 0.9710 0.0000

Results
DOS at the Fermi energy   1.561 states/eV/atom
Calculated volume   266 Å³/f.u.

---

B) This record from the Alexandria database describes a relaxed Ac4MgPt crystal. The functional is PBE.

Cell: 10.6997 10.6997 10.6997 Å, 60.00 60.00 60.00°
Positions (direct):
Ac 0.1857 0.1857 0.8143
Ac 0.1857 0.8143 0.1857
Ac 0.1857 0.8143 0.8143
Ac 0.4030 0.4030 0.4030
Ac 0.4030 0.4030 0.7911
Ac 0.4030 0.7911 0.4030
Ac 0.5592 0.5592 0.9408
Ac 0.5592 0.9408 0.5592
Ac 0.5592 0.9408 0.9408
Ac 0.7911 0.4030 0.4030
Ac 0.8143 0.1857 0.1857
Ac 0.8143 0.1857 0.8143
Ac 0.8143 0.8143 0.1857
Ac 0.9408 0.5592 0.5592
Ac 0.9408 0.5592 0.9408
Ac 0.9408 0.9408 0.5592
Mg 0.1727 0.1727 0.1727
Mg 0.1727 0.1727 0.4818
Mg 0.1727 0.4818 0.1727
Mg 0.4818 0.1727 0.1727
Pt 0.1794 0.6069 0.6069
Pt 0.6069 0.1794 0.6069
Pt 0.6069 0.6069 0.1794
Pt 0.6069 0.6069 0.6069

Results
DOS at the Fermi energy   1.091 states/eV/atom
Calculated volume   217 Å³/f.u.

---

Short version: B), A), most stable first.

---

A) This record from the Alexandria database describes a relaxed AcMgZnPt crystal. The functional is PBE.

Cell: 7.2039 7.2039 7.2039 Å, 90.00 90.00 90.00°
Positions (direct):
Ac 0.0000 0.0000 0.0000
Ac 0.0000 0.5000 0.5000
Ac 0.5000 0.0000 0.5000
Ac 0.5000 0.5000 0.0000
Mg 0.0000 0.0000 0.5000
Mg 0.0000 0.5000 0.0000
Mg 0.5000 0.0000 0.0000
Mg 0.5000 0.5000 0.5000
Zn 0.2500 0.2500 0.7500
Zn 0.2500 0.7500 0.2500
Zn 0.7500 0.2500 0.2500
Zn 0.7500 0.7500 0.7500
Pt 0.2500 0.2500 0.2500
Pt 0.2500 0.7500 0.7500
Pt 0.7500 0.2500 0.7500
Pt 0.7500 0.7500 0.2500

Results
DOS at the Fermi energy   0.482 states/eV/atom
Calculated volume   93 Å³/f.u.

---

B) This record from the Alexandria database describes a relaxed AcMgZnPt crystal. The functional is PBE.

Cell: 8.0180 4.6408 5.8372 Å, 90.00 117.34 90.00°
Positions (direct):
Ac 0.0000 0.0000 0.0000
Ac 0.5000 0.5000 0.0000
Mg 0.0128 0.5000 0.5381
Mg 0.5128 0.0000 0.5381
Zn 0.2957 0.5000 0.3869
Zn 0.7957 0.0000 0.3869
Pt 0.1987 0.0000 0.5967
Pt 0.6987 0.5000 0.5967

Results
DOS at the Fermi energy   0.535 states/eV/atom
Calculated volume   96 Å³/f.u.

---

Short version: B), A), most stable first.

---

A) This record from the Alexandria database describes a relaxed AcPuMg crystal. The functional is PBE.

Cell: 3.8126 3.8126 13.5312 Å, 90.00 90.00 90.00°
Positions (direct):
Ac 0.0000 0.0000 0.0000
Ac 0.5000 0.5000 0.5000
Pu 0.0000 0.0000 0.3117
Pu 0.5000 0.5000 0.8117
Mg 0.0000 0.0000 0.6703
Mg 0.5000 0.5000 0.1703

Results
DOS at the Fermi energy   3.079 states/eV/atom
Calculated volume   98 Å³/f.u.

---

B) This record from the Alexandria database describes a relaxed AcPuMg crystal. The functional is PBE.

Cell: 11.4783 3.5759 9.1171 Å, 90.00 102.02 90.00°
Positions (direct):
Ac 0.0587 0.0000 0.2043
Ac 0.4413 0.5000 0.7957
Ac 0.5587 0.5000 0.2043
Ac 0.9413 0.0000 0.7957
Pu 0.2159 0.5000 0.9249
Pu 0.2841 0.0000 0.0751
Pu 0.7159 0.0000 0.9249
Pu 0.7841 0.5000 0.0751
Mg 0.1771 0.0000 0.6052
Mg 0.3229 0.5000 0.3948
Mg 0.6771 0.5000 0.6052
Mg 0.8229 0.0000 0.3948

Results
DOS at the Fermi energy   1.559 states/eV/atom
Calculated volume   92 Å³/f.u.

---

Short version: A), B), most stable first.

---

A) This record from the Alexandria database describes a relaxed Ac2PuMg crystal. The functional is PBE.

Cell: 6.0038 6.0038 3.8891 Å, 90.00 90.00 90.00°
Positions (direct):
Ac 0.0000 0.5000 0.0000
Ac 0.5000 0.0000 0.0000
Pu 0.0000 0.0000 0.5000
Mg 0.5000 0.5000 0.5000

Results
DOS at the Fermi energy   2.648 states/eV/atom
Calculated volume   140 Å³/f.u.

---

B) This record from the Alexandria database describes a relaxed Ac2PuMg crystal. The functional is PBE.

Cell: 3.6671 3.6671 38.3484 Å, 90.00 90.00 120.00°
Positions (direct):
Ac 0.0000 0.0000 0.0909
Ac 0.0000 0.0000 0.9091
Ac 0.3333 0.6667 0.5758
Ac 0.3333 0.6667 0.7576
Ac 0.6667 0.3333 0.2424
Ac 0.6667 0.3333 0.4242
Pu 0.0000 0.0000 0.0000
Pu 0.3333 0.6667 0.6667
Pu 0.6667 0.3333 0.3333
Mg 0.0000 0.0000 0.5000
Mg 0.3333 0.6667 0.1667
Mg 0.6667 0.3333 0.8333

Results
DOS at the Fermi energy   3.361 states/eV/atom
Calculated volume   149 Å³/f.u.

---

Short version: A), B), most stable first.

---

A) This record from the Alexandria database describes a relaxed AcPuMg2 crystal. The functional is PBE.

Cell: 7.9525 7.9525 7.9525 Å, 90.00 90.00 90.00°
Positions (direct):
Ac 0.0000 0.0000 0.0000
Ac 0.0000 0.5000 0.5000
Ac 0.5000 0.0000 0.5000
Ac 0.5000 0.5000 0.0000
Pu 0.0000 0.0000 0.5000
Pu 0.0000 0.5000 0.0000
Pu 0.5000 0.0000 0.0000
Pu 0.5000 0.5000 0.5000
Mg 0.2500 0.2500 0.2500
Mg 0.2500 0.2500 0.7500
Mg 0.2500 0.7500 0.2500
Mg 0.2500 0.7500 0.7500
Mg 0.7500 0.2500 0.2500
Mg 0.7500 0.2500 0.7500
Mg 0.7500 0.7500 0.2500
Mg 0.7500 0.7500 0.7500

Results
DOS at the Fermi energy   3.097 states/eV/atom
Calculated volume   126 Å³/f.u.

---

B) This record from the Alexandria database describes a relaxed AcPuMg2 crystal. The functional is PBE.

Cell: 3.9643 3.9643 7.8852 Å, 90.00 90.00 90.00°
Positions (direct):
Ac 0.0000 0.0000 0.0000
Pu 0.0000 0.0000 0.5000
Mg 0.5000 0.5000 0.2750
Mg 0.5000 0.5000 0.7250

Results
DOS at the Fermi energy   2.267 states/eV/atom
Calculated volume   124 Å³/f.u.

---

Short version: B), A), most stable first.

---

A) This record from the Alexandria database describes a relaxed Ac2MgRh2 crystal. The functional is PBE.

Cell: 7.5214 7.5214 7.5214 Å, 116.38 82.90 132.79°
Positions (direct):
Ac 0.1500 0.1528 0.3028
Ac 0.3500 0.6528 0.0028
Ac 0.6500 0.3472 0.9972
Ac 0.8500 0.8472 0.6972
Mg 0.2500 0.7500 0.5000
Mg 0.7500 0.2500 0.5000
Rh 0.1023 0.7543 0.8566
Rh 0.3977 0.2543 0.6520
Rh 0.6023 0.7457 0.3480
Rh 0.8977 0.2457 0.1434

Results
DOS at the Fermi energy   0.571 states/eV/atom
Calculated volume   135 Å³/f.u.

---

B) This record from the Alexandria database describes a relaxed Ac2MgRh2 crystal. The functional is PBE.

Cell: 4.3579 6.2936 9.1999 Å, 90.00 90.00 90.00°
Positions (direct):
Ac 0.0000 0.0000 0.1980
Ac 0.0000 0.0000 0.8020
Ac 0.5000 0.5000 0.3020
Ac 0.5000 0.5000 0.6980
Mg 0.0000 0.5000 0.0000
Mg 0.5000 0.0000 0.5000
Rh 0.0000 0.2619 0.5000
Rh 0.0000 0.7381 0.5000
Rh 0.5000 0.2381 0.0000
Rh 0.5000 0.7619 0.0000

Results
DOS at the Fermi energy   0.721 states/eV/atom
Calculated volume   126 Å³/f.u.

---

Short version: B), A), most stable first.

---

A) This record from the Alexandria database describes a relaxed AcMg2Rh crystal. The functional is PBE.

Cell: 4.4940 4.4940 17.6937 Å, 90.00 90.00 120.00°
Positions (direct):
Ac 0.0000 0.0000 0.0000
Ac 0.3333 0.6667 0.6667
Ac 0.6667 0.3333 0.3333
Mg 0.0000 0.0000 0.2037
Mg 0.0000 0.0000 0.7963
Mg 0.3333 0.6667 0.4630
Mg 0.3333 0.6667 0.8704
Mg 0.6667 0.3333 0.1296
Mg 0.6667 0.3333 0.5370
Rh 0.0000 0.0000 0.5000
Rh 0.3333 0.6667 0.1667
Rh 0.6667 0.3333 0.8333

Results
DOS at the Fermi energy   0.770 states/eV/atom
Calculated volume   103 Å³/f.u.

---

B) This record from the Alexandria database describes a relaxed AcMg2Rh crystal. The functional is PBE.

Cell: 16.1283 8.2586 5.8753 Å, 90.00 90.00 90.00°
Positions (direct):
Ac 0.1012 0.2500 0.2241
Ac 0.1362 0.7500 0.0497
Ac 0.3638 0.2500 0.5497
Ac 0.3988 0.7500 0.7241
Ac 0.6012 0.2500 0.2759
Ac 0.6362 0.7500 0.4503
Ac 0.8638 0.2500 0.9503
Ac 0.8988 0.7500 0.7759
Mg 0.0448 0.0605 0.7136
Mg 0.0448 0.4395 0.7136
Mg 0.2093 0.5551 0.5461
Mg 0.2093 0.9449 0.5461
Mg 0.2907 0.0551 0.0461
Mg 0.2907 0.4449 0.0461
Mg 0.4552 0.5605 0.2136
Mg 0.4552 0.9395 0.2136
Mg 0.5448 0.0605 0.7864
Mg 0.5448 0.4395 0.7864
Mg 0.7093 0.5551 0.9539
Mg 0.7093 0.9449 0.9539
Mg 0.7907 0.0551 0.4539
Mg 0.7907 0.4449 0.4539
Mg 0.9552 0.5605 0.2864
Mg 0.9552 0.9395 0.2864
Rh 0.0686 0.7500 0.5250
Rh 0.1912 0.2500 0.7747
Rh 0.3088 0.7500 0.2747
Rh 0.4314 0.2500 0.0250
Rh 0.5686 0.7500 0.9750
Rh 0.6912 0.2500 0.7253
Rh 0.8088 0.7500 0.2253
Rh 0.9314 0.2500 0.4750

Results
DOS at the Fermi energy   0.650 states/eV/atom
Calculated volume   98 Å³/f.u.

---

C) This record from the Alexandria database describes a relaxed AcMg2Rh crystal. The functional is PBE.

Cell: 4.2941 10.8339 8.4325 Å, 90.00 90.00 90.00°
Positions (direct):
Ac 0.0000 0.0586 0.2500
Ac 0.0000 0.9414 0.7500
Ac 0.5000 0.4414 0.7500
Ac 0.5000 0.5586 0.2500
Mg 0.0000 0.3382 0.0575
Mg 0.0000 0.3382 0.4425
Mg 0.0000 0.6618 0.5575
Mg 0.0000 0.6618 0.9425
Mg 0.5000 0.1618 0.5575
Mg 0.5000 0.1618 0.9425
Mg 0.5000 0.8382 0.0575
Mg 0.5000 0.8382 0.4425
Rh 0.0000 0.2255 0.7500
Rh 0.0000 0.7745 0.2500
Rh 0.5000 0.2745 0.2500
Rh 0.5000 0.7255 0.7500

Results
DOS at the Fermi energy   0.702 states/eV/atom
Calculated volume   98 Å³/f.u.

---

Short version: C), B), A), most stable first.

---

A) This record from the Alexandria database describes a relaxed Ac3MgRh crystal. The functional is PBE.

Cell: 5.8038 5.8038 5.8038 Å, 90.00 90.00 90.00°
Positions (direct):
Ac 0.0000 0.0000 0.5000
Ac 0.0000 0.5000 0.0000
Ac 0.5000 0.0000 0.0000
Mg 0.5000 0.5000 0.5000
Rh 0.0000 0.0000 0.0000

Results
DOS at the Fermi energy   0.996 states/eV/atom
Calculated volume   196 Å³/f.u.

---

B) This record from the Alexandria database describes a relaxed Ac3MgRh crystal. The functional is PBE.

Cell: 10.0862 7.4113 10.8755 Å, 90.00 114.82 90.00°
Positions (direct):
Ac 0.0812 0.0783 0.3580
Ac 0.0812 0.4217 0.8580
Ac 0.2121 0.5780 0.5588
Ac 0.2121 0.9220 0.0588
Ac 0.3621 0.0909 0.7580
Ac 0.3621 0.4091 0.2580
Ac 0.6379 0.5909 0.7420
Ac 0.6379 0.9091 0.2420
Ac 0.7879 0.0780 0.9412
Ac 0.7879 0.4220 0.4412
Ac 0.9188 0.5783 0.1420
Ac 0.9188 0.9217 0.6420
Mg 0.4320 0.6672 0.9320
Mg 0.4320 0.8328 0.4320
Mg 0.5680 0.1672 0.5680
Mg 0.5680 0.3328 0.0680
Rh 0.0739 0.2504 0.1053
Rh 0.0739 0.2496 0.6053
Rh 0.9261 0.7504 0.3947
Rh 0.9261 0.7496 0.8947

Results
DOS at the Fermi energy   0.877 states/eV/atom
Calculated volume   184 Å³/f.u.

---

C) This record from the Alexandria database describes a relaxed Ac3MgRh crystal. The functional is PBE.

Cell: 7.2322 7.2322 9.8440 Å, 110.56 110.56 49.17°
Positions (direct):
Ac 0.1107 0.1107 0.2295
Ac 0.1524 0.1524 0.6511
Ac 0.3738 0.3738 0.0798
Ac 0.6262 0.6262 0.9202
Ac 0.8476 0.8476 0.3489
Ac 0.8893 0.8893 0.7705
Mg 0.4020 0.4020 0.5499
Mg 0.5980 0.5980 0.4501
Rh 0.1292 0.1292 0.9366
Rh 0.8708 0.8708 0.0634

Results
DOS at the Fermi energy   0.976 states/eV/atom
Calculated volume   180 Å³/f.u.

---

Short version: C), B), A), most stable first.

---

A) This record from the Alexandria database describes a relaxed AcMg3Ru crystal. The functional is PBE.

Cell: 5.6704 6.1419 7.4895 Å, 90.00 110.09 90.00°
Positions (direct):
Ac 0.0901 0.2500 0.3969
Ac 0.9099 0.7500 0.6031
Mg 0.0330 0.2500 0.8755
Mg 0.4746 0.5043 0.1998
Mg 0.4746 0.9957 0.1998
Mg 0.5254 0.0043 0.8002
Mg 0.5254 0.4957 0.8002
Mg 0.9670 0.7500 0.1245
Ru 0.3475 0.7500 0.4725
Ru 0.6525 0.2500 0.5275

Results
DOS at the Fermi energy   0.784 states/eV/atom
Calculated volume   122 Å³/f.u.

---

B) This record from the Alexandria database describes a relaxed AcMg3Ru crystal. The functional is PBE.

Cell: 5.0646 5.0646 5.0646 Å, 90.00 90.00 90.00°
Positions (direct):
Ac 0.0000 0.0000 0.0000
Mg 0.0000 0.5000 0.5000
Mg 0.5000 0.0000 0.5000
Mg 0.5000 0.5000 0.0000
Ru 0.5000 0.5000 0.5000

Results
DOS at the Fermi energy   0.688 states/eV/atom
Calculated volume   130 Å³/f.u.

---

Short version: A), B), most stable first.

---

A) This record from the Alexandria database describes a relaxed AcMgRu crystal. The functional is PBE.

Cell: 6.8416 6.8416 6.8416 Å, 90.00 90.00 90.00°
Positions (direct):
Ac 0.0000 0.0000 0.0000
Ac 0.0000 0.5000 0.5000
Ac 0.5000 0.0000 0.5000
Ac 0.5000 0.5000 0.0000
Mg 0.0000 0.0000 0.5000
Mg 0.0000 0.5000 0.0000
Mg 0.5000 0.0000 0.0000
Mg 0.5000 0.5000 0.5000
Ru 0.2500 0.2500 0.2500
Ru 0.2500 0.7500 0.7500
Ru 0.7500 0.2500 0.7500
Ru 0.7500 0.7500 0.2500

Results
DOS at the Fermi energy   1.295 states/eV/atom
Calculated volume   80 Å³/f.u.

---

B) This record from the Alexandria database describes a relaxed AcMgRu crystal. The functional is PBE.

Cell: 11.3469 4.4739 7.4795 Å, 90.00 126.00 90.00°
Positions (direct):
Ac 0.0781 0.0000 0.3269
Ac 0.4219 0.5000 0.6731
Ac 0.5781 0.5000 0.3269
Ac 0.9219 0.0000 0.6731
Mg 0.2097 0.5000 0.0888
Mg 0.2903 0.0000 0.9112
Mg 0.7097 0.0000 0.0888
Mg 0.7903 0.5000 0.9112
Ru 0.1340 0.5000 0.6533
Ru 0.3660 0.0000 0.3467
Ru 0.6340 0.0000 0.6533
Ru 0.8660 0.5000 0.3467

Results
DOS at the Fermi energy   0.640 states/eV/atom
Calculated volume   77 Å³/f.u.

---

Short version: B), A), most stable first.

---

A) This record from the Alexandria database describes a relaxed AcMgSb2 crystal. The functional is PBE.

Cell: 4.5717 4.5717 11.5982 Å, 90.00 90.00 90.00°
Positions (direct):
Ac 0.2500 0.2500 0.2190
Ac 0.7500 0.7500 0.7810
Mg 0.2500 0.7500 0.5000
Mg 0.7500 0.2500 0.5000
Sb 0.2500 0.2500 0.6605
Sb 0.2500 0.7500 0.0000
Sb 0.7500 0.2500 0.0000
Sb 0.7500 0.7500 0.3395

Results
DOS at the Fermi energy   0.450 states/eV/atom
Calculated volume   121 Å³/f.u.

---

B) This record from the Alexandria database describes a relaxed AcMgSb2 crystal. The functional is PBE.

Cell: 4.1136 4.1136 6.9590 Å, 90.00 90.00 90.00°
Positions (direct):
Ac 0.0000 0.0000 0.0000
Mg 0.0000 0.0000 0.5000
Sb 0.5000 0.5000 0.2798
Sb 0.5000 0.5000 0.7202

Results
DOS at the Fermi energy   0.882 states/eV/atom
Calculated volume   118 Å³/f.u.

---

Short version: A), B), most stable first.